1.
# ZnSb2TeO (SCAN, PBEsol geometry)
data_ZnSb2TeO
_symmetry_space_group_name_H-M 'P 4/m m m'
_symmetry_Int_Tables_number 123
_symmetry_space_group_name_Hall '-P 4 2'
_cell_length_a 5.1003
_cell_length_b 5.1003
_cell_length_c 5.1316
_cell_angle_alpha 90.00
_cell_angle_beta 90.00
_cell_angle_gamma 90.00
loop_
_atom_site_label
_atom_site_fract_x
_atom_site_fract_y
_atom_site_fract_z
_atom_site_occupancy
Zn1 0.0000 0.0000 0.0000 1
Sb1 0.0000 0.5000 0.0000 1
Te1 0.0000 0.0000 0.5000 1
O1 0.5000 0.5000 0.5000 1
# uncorrected formation energy: 0.925 eV per atom
# crystal system: tetragonal


2.
# Mg2BN2Cl (SCAN, PBEsol geometry)
data_Mg2BN2Cl
_symmetry_space_group_name_H-M 'P b c a'
_symmetry_Int_Tables_number 61
_cell_length_a 6.5878
_cell_length_b 9.7820
_cell_length_c 10.5669
_cell_angle_alpha 90.00
_cell_angle_beta 90.00
_cell_angle_gamma 90.00
loop_
_symmetry_equiv_pos_as_xyz
'x,y,z'
'-x,-y,-z'
'-x+1/2,-y,z+1/2'
'x+1/2,y,-z+1/2'
'x+1/2,-y+1/2,-z'
'-x+1/2,y+1/2,z'
'-x,y+1/2,-z+1/2'
'x,-y+1/2,z+1/2'
loop_
_atom_site_label
_atom_site_fract_x
_atom_site_fract_y
_atom_site_fract_z
_atom_site_occupancy
Mg1 0.0575 0.2495 0.1921 1
Mg2 0.1995 0.0489 0.4430 1
B1 0.1429 0.5393 0.1986 1
N1 0.0691 0.0571 0.6219 1
N2 0.2065 0.6412 0.2740 1
Cl1 0.0615 0.1579 0.9585 1
# uncorrected formation energy: -1.407 eV per atom
# crystal system: orthorhombic


3.
# Mg2TeMo (SCAN, PBEsol geometry)
data_Mg2TeMo
_symmetry_space_group_name_H-M 'C m m m'
_symmetry_Int_Tables_number 65
_symmetry_space_group_name_Hall '-C 2 2'
_cell_length_a 5.6507
_cell_length_b 8.9941
_cell_length_c 3.0470
_cell_angle_alpha 90.00
_cell_angle_beta 90.00
_cell_angle_gamma 90.00
loop_
_atom_site_label
_atom_site_fract_x
_atom_site_fract_y
_atom_site_fract_z
_atom_site_occupancy
Mg1 0.2500 0.2500 0.0000 1
Te1 0.0000 0.0000 0.5000 1
Mo1 0.0000 0.5000 0.5000 1
# uncorrected formation energy: 0.308 eV per atom
# crystal system: orthorhombic


4.
# Li2ScCd (SCAN, PBEsol geometry)
data_Li2ScCd
_symmetry_space_group_name_H-M 'I 4/m m m'
_symmetry_Int_Tables_number 139
_symmetry_space_group_name_Hall '-I 4 2'
_cell_length_a 4.5529
_cell_length_b 4.5529
_cell_length_c 6.8534
_cell_angle_alpha 90.00
_cell_angle_beta 90.00
_cell_angle_gamma 90.00
loop_
_atom_site_label
_atom_site_fract_x
_atom_site_fract_y
_atom_site_fract_z
_atom_site_occupancy
Li1 0.0000 0.5000 0.2500 1
Sc1 0.0000 0.0000 0.0000 1
Cd1 0.0000 0.0000 0.5000 1
# offset from the most stable computed form: 0 meV/atom
# crystal system: tetragonal


5.
# CoBi3I (SCAN, PBEsol geometry)
data_CoBi3I
_symmetry_space_group_name_H-M 'P m -3 m'
_symmetry_Int_Tables_number 221
_symmetry_space_group_name_Hall '-P 4 2 3'
_cell_length_a 5.8278
_cell_length_b 5.8278
_cell_length_c 5.8278
_cell_angle_alpha 90.00
_cell_angle_beta 90.00
_cell_angle_gamma 90.00
loop_
_atom_site_label
_atom_site_fract_x
_atom_site_fract_y
_atom_site_fract_z
_atom_site_occupancy
Co1 0.0000 0.0000 0.0000 1
Bi1 0.0000 0.5000 0.5000 1
I1 0.5000 0.5000 0.5000 1
# uncorrected formation energy: 1.730 eV per atom
# crystal system: cubic


6.
# SiIO2F (SCAN, PBEsol geometry)
data_SiIO2F
_symmetry_space_group_name_H-M 'P 4/m m m'
_symmetry_Int_Tables_number 123
_symmetry_space_group_name_Hall '-P 4 2'
_cell_length_a 3.4099
_cell_length_b 3.4099
_cell_length_c 6.5862
_cell_angle_alpha 90.00
_cell_angle_beta 90.00
_cell_angle_gamma 90.00
loop_
_atom_site_label
_atom_site_fract_x
_atom_site_fract_y
_atom_site_fract_z
_atom_site_occupancy
Si1 0.0000 0.0000 0.0000 1
I1 0.5000 0.5000 0.5000 1
O1 0.0000 0.5000 0.0000 1
F1 0.0000 0.0000 0.5000 1
# uncorrected formation energy: -1.131 eV per atom
# crystal system: tetragonal


7.
# Si5Sb (SCAN, PBEsol geometry)
data_Si5Sb
_symmetry_space_group_name_H-M 'F -4 3 m'
_symmetry_Int_Tables_number 216
_symmetry_space_group_name_Hall 'F -4 2 3'
_cell_length_a 7.3601
_cell_length_b 7.3601
_cell_length_c 7.3601
_cell_angle_alpha 90.00
_cell_angle_beta 90.00
_cell_angle_gamma 90.00
loop_
_atom_site_label
_atom_site_fract_x
_atom_site_fract_y
_atom_site_fract_z
_atom_site_occupancy
Si1 0.0000 0.0000 0.0000 1
Si2 0.1259 0.1259 0.3741 1
Sb1 0.2500 0.2500 0.7500 1
# uncorrected formation energy: 0.803 eV per atom
# offset from the most stable computed form: 223 meV/atom
# crystal system: cubic


8.
# SrMg2Tl2 (SCAN, PBEsol geometry)
data_SrMg2Tl2
_symmetry_space_group_name_H-M 'I 4/m m m'
_symmetry_Int_Tables_number 139
_symmetry_space_group_name_Hall '-I 4 2'
_cell_length_a 4.6547
_cell_length_b 4.6547
_cell_length_c 12.8445
_cell_angle_alpha 90.00
_cell_angle_beta 90.00
_cell_angle_gamma 90.00
loop_
_atom_site_label
_atom_site_fract_x
_atom_site_fract_y
_atom_site_fract_z
_atom_site_occupancy
Sr1 0.0000 0.0000 0.0000 1
Mg1 0.0000 0.5000 0.2500 1
Tl1 0.0000 0.0000 0.3866 1
# uncorrected energy: -35.8093 eV per atom
# crystal system: tetragonal


Record order is preserved below.
Size of the total moment: 1.6 0.0 0.0 0.0 2.5 0.0 0.0 0.0 μB per cell